First-principles (PBE) data for crystalline BeHg2BiAs at its relaxed geometry, as listed in Alexandria via LeMat-Bulk.

```
BeHg2BiAs
1.0
4.624 0.000 0.000
0.000 4.624 0.000
0.000 0.000 5.667
Be Hg Bi As
1 2 1 1
direct
0.000 0.000 0.000
0.000 0.500 0.000
0.500 0.000 0.000
0.000 0.000 0.500
0.500 0.500 0.500
```

- theoretical density (g/cm³) = 9.51
- energy (eV for the cell shown) = -10.81
- E_form (meV/atom) = 411
- D(E_F) (states/eV per cell) = 3.4


First-principles (PBE) data for crystalline AcTbZn2Sn2 at its relaxed geometry, as listed in Alexandria via LeMat-Bulk.

```
AcTbZn2Sn2
1.0
4.552 0.000 0.000
-2.276 3.942 0.000
0.000 0.000 8.725
Ac Tb Zn Sn
1 1 2 2
direct
0.000 0.000 0.000
0.000 0.000 0.500
0.333 0.667 0.697
0.667 0.333 0.303
0.333 0.667 0.260
0.667 0.333 0.740
```

- theoretical density (g/cm³) = 8.00
- energy (eV for the cell shown) = -22.60
- E_form (meV/atom) = -551
- D(E_F) (states/eV per cell) = 4.8


First-principles (PBE) data for crystalline CrFeAs3 at its relaxed geometry, as listed in Alexandria via LeMat-Bulk.

```
CrFeAs3
1.0
4.644 0.000 0.000
0.000 4.644 0.000
0.000 0.000 4.644
Cr Fe As
1 1 3
direct
0.000 0.000 0.000
0.500 0.500 0.500
0.000 0.000 0.500
0.000 0.500 0.000
0.500 0.000 0.000
```

- theoretical density (g/cm³) = 5.51
- energy (eV for the cell shown) = -28.21
- E_form (meV/atom) = 764
- D(E_F) (states/eV per cell) = 7.1


First-principles (PBE) data for crystalline LaSm3DyHo at its relaxed geometry, as listed in Alexandria via LeMat-Bulk.

```
LaSm3DyHo
1.0
10.189 -2.887 0.000
10.189 2.887 0.000
-0.145 0.000 6.903
La Sm Dy Ho
2 6 2 2
direct
0.146 0.146 0.025
0.854 0.854 0.975
0.020 0.020 0.744
0.280 0.280 0.743
0.340 0.340 0.264
0.660 0.660 0.736
0.720 0.720 0.257
0.980 0.980 0.256
0.444 0.444 0.732
0.556 0.556 0.268
0.145 0.145 0.469
0.855 0.855 0.531
```

- theoretical density (g/cm³) = 7.50
- energy (eV for the cell shown) = -54.15
- E_form (meV/atom) = 198
- D(E_F) (states/eV per cell) = 17.9


First-principles (PBE) data for crystalline Pr2CuBiS5 at its relaxed geometry, as listed in Alexandria via LeMat-Bulk.

```
Pr2CuBiS5
1.0
1.989 -8.450 0.000
1.989 8.450 0.000
0.000 0.000 11.939
Pr Cu Bi S
4 2 2 10
direct
0.116 0.884 0.500
0.116 0.884 0.881
0.884 0.116 0.000
0.884 0.116 0.381
0.499 0.501 0.682
0.501 0.499 0.182
0.188 0.812 0.195
0.812 0.188 0.695
0.035 0.965 0.266
0.294 0.706 0.858
0.297 0.703 0.523
0.357 0.643 0.193
0.492 0.508 0.490
0.508 0.492 0.990
0.643 0.357 0.693
0.703 0.297 0.023
0.706 0.294 0.358
0.965 0.035 0.766
```

- formation energy (no corrections) (meV/atom) = -1258
- theoretical density (g/cm³) = 5.91
- energy (eV for the cell shown) = -99.00


First-principles (PBE) data for crystalline TbDy4Si4 at its relaxed geometry, as listed in Alexandria via LeMat-Bulk.

```
TbDy4Si4
1.0
8.990 0.000 0.000
0.000 8.990 0.000
0.000 0.000 5.767
Tb Dy Si
2 8 8
direct
0.250 0.250 0.250
0.750 0.750 0.750
0.079 0.657 0.126
0.157 0.921 0.626
0.343 0.579 0.626
0.421 0.843 0.126
0.579 0.157 0.874
0.657 0.421 0.374
0.843 0.079 0.374
0.921 0.343 0.874
0.024 0.611 0.623
0.111 0.976 0.123
0.389 0.524 0.123
0.476 0.889 0.623
0.524 0.111 0.377
0.611 0.476 0.877
0.889 0.024 0.877
0.976 0.389 0.377
```

- formation energy (no corrections) (meV/atom) = -478
- theoretical density (g/cm³) = 6.56
- energy (eV for the cell shown) = -98.06
- D(E_F) (states/eV per cell) = 18.3


First-principles (PBE) data for crystalline BaMg3Pt2 at its relaxed geometry, as listed in Alexandria via LeMat-Bulk.

```
BaMg3Pt2
1.0
9.003 -2.178 0.000
9.003 2.178 0.000
-3.004 0.000 10.640
Ba Mg Pt
3 9 6
direct
0.000 0.000 0.000
0.156 0.156 0.709
0.844 0.844 0.291
0.050 0.050 0.342
0.219 0.219 0.402
0.322 0.322 0.027
0.370 0.370 0.786
0.500 0.500 0.500
0.630 0.630 0.214
0.678 0.678 0.973
0.781 0.781 0.598
0.950 0.950 0.658
0.197 0.197 0.138
0.364 0.364 0.548
0.473 0.473 0.224
0.527 0.527 0.776
0.636 0.636 0.452
0.803 0.803 0.862
```

- theoretical density (g/cm³) = 7.17
- energy (eV for the cell shown) = -68.73
- E_form (meV/atom) = -687
- D(E_F) (states/eV per cell) = 6.5


First-principles (PBE) data for crystalline Zr2BPtO at its relaxed geometry, as listed in Alexandria via LeMat-Bulk.

```
Zr2BPtO
1.0
4.661 0.000 0.000
0.000 4.661 0.000
0.000 0.000 3.869
Zr B Pt O
2 1 1 1
direct
0.000 0.500 0.000
0.500 0.000 0.000
0.000 0.000 0.000
0.000 0.000 0.500
0.500 0.500 0.500
```

- formation energy (no corrections) (meV/atom) = -359
- theoretical density (g/cm³) = 7.99
- energy (eV for the cell shown) = -36.57
- D(E_F) (states/eV per cell) = 4.1


Which of these has the lowest theoretical density?
CrFeAs3